MgCdCo2 | the Alexandria database | PBE | relaxed; ΔE_f = 0.302 eV per atom; calculated volume = 61 Å³/f.u.; N(E_F) = 1.061 states/eV per atom; SG = C2/m, No. 12
1.0
4.513 -1.414 0.000
4.513 1.414 0.000
-0.907 0.000 4.773
Mg Cd Co
1 1 2
Direct
0.000 0.000 0.000
0.500 0.500 0.500
0.250 0.250 0.788
0.750 0.750 0.212

=====

MgCdCo2 | the Alexandria database | PBE | relaxed; ΔE_f = 0.252 eV per atom; calculated volume = 59 Å³/f.u.; N(E_F) = 1.149 states/eV per atom; SG = I-4m2, No. 119
1.0
-2.014 2.014 3.649
2.014 -2.014 3.649
2.014 2.014 -3.649
Mg Cd Co
1 1 2
Direct
0.000 0.000 0.000
0.250 0.750 0.500
0.500 0.500 0.000
0.750 0.250 0.500

=====

MgCdCo2 | the Alexandria database | PBE | relaxed; ΔE_f = 0.091 eV per atom; calculated volume = 62 Å³/f.u.; N(E_F) = 0.838 states/eV per atom; SG = P4mm, No. 99
1.0
2.929 0.000 0.000
0.000 2.929 0.000
0.000 0.000 7.216
Mg Cd Co
1 1 2
Direct
0.000 0.000 0.000
0.500 0.500 0.331
0.000 0.000 0.595
0.500 0.500 0.758

=====

Mg2CdCo2 | the Alexandria database | PBE | relaxed; ΔE_f = 0.183 eV per atom; calculated volume = 91 Å³/f.u.; N(E_F) = 0.781 states/eV per atom; SG = I4/mmm, No. 139
1.0
-1.612 1.612 8.787
1.612 -1.612 8.787
1.612 1.612 -8.787
Mg Cd Co
2 1 2
Direct
0.124 0.124 0.000
0.876 0.876 0.000
0.500 0.500 0.000
0.250 0.750 0.500
0.750 0.250 0.500

=====

MgCdCo2 | the Alexandria database | PBE | relaxed; ΔE_f = 0.612 eV per atom; calculated volume = 65 Å³/f.u.; N(E_F) = 1.515 states/eV per atom; SG = I-42d, No. 122
1.0
-3.526 3.526 2.631
3.526 -3.526 2.631
3.526 3.526 -2.631
Mg Cd Co
2 2 4
Direct
0.000 0.000 0.000
0.750 0.250 0.500
0.250 0.750 0.500
0.500 0.500 0.000
0.122 0.125 0.497
0.375 0.878 0.003
0.628 0.625 0.503
0.875 0.372 0.997

=====

MgCdCo | the Alexandria database | PBE | relaxed; ΔE_f = 0.213 eV per atom; calculated volume = 50 Å³/f.u.; N(E_F) = 0.481 states/eV per atom; SG = P3m1, No. 156
1.0
4.518 0.000 0.000
-2.259 3.912 0.000
0.000 0.000 2.808
Mg Cd Co
1 1 1
Direct
0.000 0.000 0.000
0.667 0.333 0.383
0.333 0.667 0.708

=====

Q: The lowest calculated volume belongs to which entry?
A: MgCdCo

=====

Q: The lowest ΔE_f belongs to which entry?
A: number 3